Entry 1:
An optimized crystal structure of RbNa2P2. Source: Alexandria via LeMat-Bulk, functional GGA-PBEsol.

Symmetry: I4/mmm
Crystal system: tetragonal
DFT total energy in eV/atom: -3.366

Cell: 4.8322 4.8322 6.4596 Å, 111.96 111.96 90.00°
Fractional positions:
P (0.4020, 0.4020, 0.8039)
P (0.5980, 0.5980, 0.1961)
Rb (0.0000, 0.0000, 0.0000)
Na (0.2500, 0.7500, 0.5000)
Na (0.7500, 0.2500, 0.5000)



Entry 2:
An optimized crystal structure of Rb3NaP. Source: Alexandria via LeMat-Bulk, functional GGA-PBEsol.

Symmetry: Pm-3m
Crystal system: cubic
DFT total energy in eV/atom: -2.004

Cell: 6.5902 6.5902 6.5902 Å, 90.00 90.00 90.00°
Fractional positions:
P (0.0000, 0.0000, 0.0000)
Rb (0.0000, 0.5000, 0.0000)
Rb (0.0000, 0.0000, 0.5000)
Rb (0.5000, 0.0000, 0.0000)
Na (0.5000, 0.5000, 0.5000)



Entry 3:
An optimized crystal structure of NaRe3P. Source: Alexandria via LeMat-Bulk, functional GGA-PBEsol.

Symmetry: Pm-3m
Crystal system: cubic
DFT total energy in eV/atom: -8.298

Cell: 4.3982 4.3982 4.3982 Å, 90.00 90.00 90.00°
Fractional positions:
Re (0.0000, 0.5000, 0.0000)
Re (0.0000, 0.0000, 0.5000)
Re (0.5000, 0.0000, 0.0000)
Na (0.5000, 0.5000, 0.5000)
P (0.0000, 0.0000, 0.0000)



Entry 4:
An optimized crystal structure of NaP2RhS. Source: Alexandria via LeMat-Bulk, functional GGA-PBEsol.

Symmetry: P4/mmm
Crystal system: tetragonal
Energy relative to the elements, uncorrected in eV per atom: 0.128

Cell: 4.4161 4.4161 5.2760 Å, 90.00 90.00 90.00°
Fractional positions:
P (0.0000, 0.5000, 0.0000)
P (0.5000, 0.0000, 0.0000)
S (0.0000, 0.0000, 0.5000)
Rh (0.0000, 0.0000, 0.0000)
Na (0.5000, 0.5000, 0.5000)



Entry 5:
An optimized crystal structure of Na2P2Ru. Source: Alexandria via LeMat-Bulk, functional GGA-PBEsol.

Symmetry: P4/mbm
Crystal system: tetragonal
DFT total energy in eV/atom: -5.324

Cell: 4.7737 5.9721 5.9721 Å, 90.00 90.00 90.00°
Fractional positions:
Ru (0.0000, 0.0000, 0.0000)
Ru (0.0000, 0.5000, 0.5000)
Na (0.5000, 0.1825, 0.6825)
Na (0.5000, 0.6825, 0.8175)
Na (0.5000, 0.8175, 0.3175)
Na (0.5000, 0.3175, 0.1825)
P (0.0000, 0.3656, 0.8656)
P (0.0000, 0.8656, 0.6344)
P (0.0000, 0.6344, 0.1344)
P (0.0000, 0.1344, 0.3656)



Entry 6:
An optimized crystal structure of NaPS3. Source: Alexandria via LeMat-Bulk, functional GGA-PBEsol.

Symmetry: P2_1/m
Crystal system: monoclinic
Energy relative to the elements, uncorrected in eV per atom: -0.577

Cell: 6.5857 7.6849 8.9630 Å, 90.00 89.14 90.00°
Fractional positions:
Na (0.2918, 0.5174, 0.7090)
Na (0.7082, 0.0174, 0.2910)
Na (0.7082, 0.4826, 0.2910)
Na (0.2918, 0.9826, 0.7090)
P (0.7893, 0.7500, 0.6133)
P (0.2107, 0.2500, 0.3867)
P (0.6723, 0.7500, 0.9268)
P (0.3277, 0.2500, 0.0732)
S (0.2367, 0.0463, 0.2263)
S (0.7633, 0.5463, 0.7737)
S (0.7633, 0.9537, 0.7737)
S (0.2367, 0.4537, 0.2263)
S (0.3719, 0.7500, 0.9573)
S (0.6281, 0.2500, 0.0427)
S (0.5483, 0.7500, 0.4809)
S (0.4517, 0.2500, 0.5191)
S (0.8536, 0.7500, 0.0997)
S (0.1464, 0.2500, 0.9003)
S (0.0599, 0.7500, 0.5122)
S (0.9401, 0.2500, 0.4878)